A plane-wave DFT calculation with PBE+U was carried out for an optimized crystal structure of Li4V2Co3Cu3O16.

Cell lengths 5.938, 5.938, 9.540 Å; angles 94.37, 94.37, 57.23 degrees
Fractional positions:
Li1 0.000 0.000 0.000
Li2 0.033 0.033 0.510
Li3 0.359 0.359 0.421
Li4 0.679 0.679 0.915
V1 0.321 0.321 0.015
V2 0.691 0.691 0.505
Co1 0.200 0.200 0.732
Co2 0.356 0.840 0.233
Co3 0.840 0.356 0.233
Cu1 0.191 0.690 0.727
Cu2 0.690 0.191 0.727
Cu3 0.842 0.842 0.228
O1 0.019 0.019 0.318
O2 0.038 0.038 0.811
O3 0.055 0.477 0.871
O4 0.180 0.180 0.110
O5 0.181 0.664 0.102
O6 0.350 0.350 0.639
O7 0.396 0.889 0.601
O8 0.477 0.055 0.871
O9 0.500 0.500 0.844
O10 0.543 0.543 0.371
O11 0.544 0.982 0.364
O12 0.664 0.181 0.102
O13 0.671 0.671 0.124
O14 0.875 0.875 0.606
O15 0.889 0.396 0.601
O16 0.982 0.544 0.364

Computed properties:
Total magnetization: 10.0 μB per cell
Final energy: -164.6 eV per cell
Space-group type: Cm, No. 8